Record 1
VASP calculation (PBEsol) on an optimized crystal structure of HfCd2BiSe.

Cell and atoms, written as CIF:
```
data_HfCd2BiSe
_chemical_formula_sum 'Hf1 Cd2 Bi1 Se1'
_symmetry_space_group_name_H-M 'P 4/m m m'
_symmetry_Int_Tables_number 123
_symmetry_space_group_name_Hall '-P 4 2'
_cell_length_a 5.4841
_cell_length_b 5.4841
_cell_length_c 5.5028
_cell_angle_alpha 90.00
_cell_angle_beta 90.00
_cell_angle_gamma 90.00
loop_
_atom_site_label
_atom_site_type_symbol
_atom_site_fract_x
_atom_site_fract_y
_atom_site_fract_z
Hf1 Hf 0.0000 0.0000 0.0000
Cd1 Cd 0.0000 0.5000 0.0000
Bi1 Bi 0.0000 0.0000 0.5000
Se1 Se 0.5000 0.5000 0.5000
```

Formation energy without anion corrections, meV per atom: 838

Record 2
VASP calculation (PBEsol) on an optimized crystal structure of Cd2Hg2Bi.

Cell and atoms, written as CIF:
```
data_Cd2Hg2Bi
_chemical_formula_sum 'Cd4 Hg4 Bi2'
_symmetry_space_group_name_H-M 'P 4/m b m'
_symmetry_Int_Tables_number 127
_symmetry_space_group_name_Hall '-P 4 2ab'
_cell_length_a 8.5378
_cell_length_b 8.5378
_cell_length_c 3.2606
_cell_angle_alpha 90.00
_cell_angle_beta 90.00
_cell_angle_gamma 90.00
loop_
_atom_site_label
_atom_site_type_symbol
_atom_site_fract_x
_atom_site_fract_y
_atom_site_fract_z
Cd1 Cd 0.1263 0.3737 0.0000
Hg1 Hg 0.1713 0.6713 0.5000
Bi1 Bi 0.0000 0.0000 0.5000
```

Formation enthalpy at 0 K, eV per atom: 0.04

Record 3
VASP calculation (PBEsol) on an optimized crystal structure of CdHgBi2.

Cell and atoms, written as CIF:
```
data_CdHgBi2
_chemical_formula_sum 'Cd4 Hg4 Bi8'
_symmetry_space_group_name_H-M 'F m -3 m'
_symmetry_Int_Tables_number 225
_symmetry_space_group_name_Hall '-F 4 2 3'
_cell_length_a 7.4977
_cell_length_b 7.4977
_cell_length_c 7.4977
_cell_angle_alpha 90.00
_cell_angle_beta 90.00
_cell_angle_gamma 90.00
loop_
_atom_site_label
_atom_site_type_symbol
_atom_site_fract_x
_atom_site_fract_y
_atom_site_fract_z
Cd1 Cd 0.0000 0.0000 0.0000
Hg1 Hg 0.0000 0.0000 0.5000
Bi1 Bi 0.2500 0.2500 0.2500
```

Formation enthalpy at 0 K, eV per atom: 0.11

Record 4
VASP calculation (PBEsol) on an optimized crystal structure of Sr2CdHgBi.

Cell and atoms, written as CIF:
```
data_Sr2CdHgBi
_chemical_formula_sum 'Sr2 Cd1 Hg1 Bi1'
_symmetry_space_group_name_H-M 'P 4/m m m'
_symmetry_Int_Tables_number 123
_symmetry_space_group_name_Hall '-P 4 2'
_cell_length_a 6.1219
_cell_length_b 6.1219
_cell_length_c 5.5070
_cell_angle_alpha 90.00
_cell_angle_beta 90.00
_cell_angle_gamma 90.00
loop_
_atom_site_label
_atom_site_type_symbol
_atom_site_fract_x
_atom_site_fract_y
_atom_site_fract_z
Sr1 Sr 0.0000 0.5000 0.0000
Cd1 Cd 0.0000 0.0000 0.0000
Hg1 Hg 0.5000 0.5000 0.5000
Bi1 Bi 0.0000 0.0000 0.5000
```

Formation enthalpy at 0 K, eV per atom: -0.03

no.,density (kg/m³),spin magnetization (μB/f.u.)
1,6936,0.00
2,11667,0.00
3,11519,0.00
4,5610,0.00